# 1
Crystalline CaNiSb2 at its relaxed geometry. Source: the Alexandria database, functional PBE-GGA.

a = 5.5602 Å, b = 5.5602 Å, c = 5.3599 Å
α = 112.54°, β = 112.54°, γ = 42.91°
Last column: nearest neighbours and their distance in Å.
Element x y z (fractional)
Ca (0.0000, 0.0000, 0.0000)  1 Ni 2.93, 2 Sb 3.22
Ni (0.7711, 0.7711, 0.4487)  4 Sb 2.54-2.57
Sb (0.2067, 0.2067, 0.6692)  2 Ni 2.57
Sb (0.3655, 0.3655, 0.2947)  2 Ni 2.54

Summary:
- Formation energy (no corrections): -1.4 eV/f.u.

# 2
Crystalline Cs2Tl2Au3 at its relaxed geometry. Source: the Alexandria database, functional PBE-GGA.

a = 7.0703 Å, b = 7.0703 Å, c = 8.0025 Å
α = 117.19°, β = 117.19°, γ = 40.95°
Last column: nearest neighbours and their distance in Å.
Element x y z (fractional)
Cs (0.1461, 0.1461, 0.2986)  6 Au 3.59-3.94, 4 Tl 3.75-3.91, 2 Cs 3.93
Cs (0.8539, 0.8539, 0.7014)  6 Au 3.59-3.94, 4 Tl 3.75-3.91, 2 Cs 3.93
Tl (0.1614, 0.1614, 0.7994)  5 Au 3.04-3.38
Tl (0.8386, 0.8386, 0.2006)  5 Au 3.04-3.38
Au (0.4219, 0.4219, 0.0832)  2 Au 2.96-2.97, 3 Tl 3.04-3.07
Au (0.5000, 0.5000, 0.5000)  2 Au 2.97
Au (0.5781, 0.5781, 0.9168)  2 Au 2.96-2.97, 3 Tl 3.04-3.07

Summary:
- E: -17.36 eV for the cell shown

# 3
Crystalline HfMgZr2H at its relaxed geometry. Source: the Alexandria database, functional PBE-GGA.

a = 4.4973 Å, b = 4.4973 Å, c = 4.4565 Å
α = 90.00°, β = 90.00°, γ = 90.00°
Last column: nearest neighbours and their distance in Å.
Element x y z (fractional)
Hf (0.0000, 0.0000, 0.0000)  2 H 2.23
Mg (0.5000, 0.5000, 0.0000)  8 Zr 3.17, 4 Hf 3.18
Zr (0.0000, 0.5000, 0.5000)  2 H 2.25
Zr (0.5000, 0.0000, 0.5000)  2 H 2.25
H (0.0000, 0.0000, 0.5000)  2 Hf 2.23, 4 Zr 2.25

Summary:
- E: -32.64 eV for the cell shown

# 4
Crystalline FeH2Se at its relaxed geometry. Source: the Alexandria database, functional PBE-GGA.

a = 6.8998 Å, b = 6.8998 Å, c = 6.8998 Å
α = 150.61°, β = 150.61°, γ = 42.04°
Last column: nearest neighbours and their distance in Å.
Element x y z (fractional)
Fe (0.3750, 0.6250, 0.7500)  4 H 1.83
Fe (0.6250, 0.3750, 0.2500)  4 H 1.83
H (0.0000, 0.5000, 0.5000)  2 H 1.75, 2 Fe 1.83
H (0.5000, 0.0000, 0.0000)  2 H 1.75, 2 Fe 1.83
H (0.5000, 0.5000, 0.0000)  2 H 1.75, 2 Fe 1.83
H (0.5000, 0.5000, 0.5000)  2 H 1.75, 2 Fe 1.83
Se (0.1250, 0.8750, 0.2500)  4 Fe 2.47, 8 H 2.53
Se (0.8750, 0.1250, 0.7500)  4 Fe 2.47, 8 H 2.53

Summary:
- E: -33.38 eV for the cell shown

# 5
Crystalline LiIr2Au at its relaxed geometry. Source: the Alexandria database, functional PBE-GGA.

a = 4.9431 Å, b = 4.9431 Å, c = 4.9431 Å
α = 135.10°, β = 135.10°, γ = 65.37°
Last column: nearest neighbours and their distance in Å.
Element x y z (fractional)
Li (0.0000, 0.0000, 0.0000)  4 Au 2.67, 8 Ir 2.81
Ir (0.2500, 0.7500, 0.5000)  4 Ir 2.67, 4 Au 2.81, 4 Li 2.81
Ir (0.7500, 0.2500, 0.5000)  4 Ir 2.67, 4 Au 2.81, 4 Li 2.81
Au (0.5000, 0.5000, 0.0000)  4 Li 2.67, 8 Ir 2.81

Summary:
- E: -22.23 eV for the cell shown

# 6
Crystalline CsKSbPb2 at its relaxed geometry. Source: the Alexandria database, functional PBE-GGA.

a = 6.1253 Å, b = 6.1253 Å, c = 6.2639 Å
α = 90.00°, β = 90.00°, γ = 90.00°
Last column: nearest neighbours and their distance in Å.
Element x y z (fractional)
Cs (0.0000, 0.0000, 0.0000)  2 K 3.13
K (0.0000, 0.0000, 0.5000)  4 Pb 3.06, 2 Cs 3.13
Sb (0.5000, 0.5000, 0.0000)  4 Cs 4.33, 8 Pb 4.38
Pb (0.0000, 0.5000, 0.5000)  2 K 3.06
Pb (0.5000, 0.0000, 0.5000)  2 K 3.06

Summary:
- Formation energy (no corrections): 3.6 eV/f.u.

# 7
Crystalline Pm2BeCoPt6 at its relaxed geometry. Source: the Alexandria database, functional PBE-GGA.

a = 7.5186 Å, b = 7.5186 Å, c = 7.5186 Å
α = 44.08°, β = 44.08°, γ = 44.08°
Last column: nearest neighbours and their distance in Å.
Element x y z (fractional)
Pm (0.2078, 0.2078, 0.2078)  9 Pt 3.03-3.24, 3 Co 3.36
Pm (0.7922, 0.7922, 0.7922)  9 Pt 3.03-3.24, 3 Co 3.36
Be (0.0000, 0.0000, 0.0000)  6 Pt 2.20
Co (0.5000, 0.5000, 0.5000)  6 Pt 2.52
Pt (0.2410, 0.2410, 0.7302)  1 Be 2.20
Pt (0.2410, 0.7302, 0.2410)  1 Be 2.20
Pt (0.2698, 0.7590, 0.7590)  1 Be 2.20
Pt (0.7302, 0.2410, 0.2410)  1 Be 2.20
Pt (0.7590, 0.2698, 0.7590)  1 Be 2.20
Pt (0.7590, 0.7590, 0.2698)  1 Be 2.20

Summary:
- E: -63.28 eV for the cell shown

# 8
Crystalline Pr2In3Hg3 at its relaxed geometry. Source: the Alexandria database, functional PBE-GGA.

a = 4.6774 Å, b = 4.7167 Å, c = 9.5189 Å
α = 90.00°, β = 90.00°, γ = 90.00°
Last column: nearest neighbours and their distance in Å.
Element x y z (fractional)
Pr (0.0000, 0.0000, 0.2496)  6 In 3.32-3.33, 6 Hg 3.34-3.35
Pr (0.0000, 0.0000, 0.7504)  6 In 3.32-3.33, 6 Hg 3.34-3.35
In (0.5000, 0.0000, 0.0000)  4 Hg 3.32, 4 Pr 3.33, 4 In 3.34
In (0.5000, 0.5000, 0.2487)  4 Pr 3.32, 6 Hg 3.33-3.36, 2 In 3.34
In (0.5000, 0.5000, 0.7513)  4 Pr 3.32, 6 Hg 3.33-3.36, 2 In 3.34
Hg (0.0000, 0.5000, 0.0000)  8 In 3.32-3.33, 4 Pr 3.35
Hg (0.0000, 0.5000, 0.5000)  4 Hg 3.32, 4 In 3.35, 4 Pr 3.35
Hg (0.5000, 0.0000, 0.5000)  4 Hg 3.32, 4 Pr 3.34, 4 In 3.36

Summary:
- E: -22.00 eV for the cell shown

# 9
Crystalline Mn2RuSe at its relaxed geometry. Source: the Alexandria database, functional PBE-GGA.

a = 3.7044 Å, b = 3.7044 Å, c = 3.9543 Å
α = 90.00°, β = 90.00°, γ = 90.00°
Last column: nearest neighbours and their distance in Å.
Element x y z (fractional)
Mn (0.0000, 0.5000, 0.0000)  4 Mn 2.62, 4 Se 2.71, 4 Ru 2.71
Mn (0.5000, 0.0000, 0.0000)  4 Mn 2.62, 4 Se 2.71, 4 Ru 2.71
Ru (0.0000, 0.0000, 0.5000)  4 Se 2.62, 8 Mn 2.71
Se (0.5000, 0.5000, 0.5000)  4 Ru 2.62, 8 Mn 2.71

Summary:
- Formation energy (no corrections): 1.0 eV/f.u.

# 10
Crystalline NaTe2WCl at its relaxed geometry. Source: the Alexandria database, functional PBE-GGA.

a = 5.3332 Å, b = 5.3332 Å, c = 5.4925 Å
α = 90.00°, β = 90.00°, γ = 90.00°
Last column: nearest neighbours and their distance in Å.
Element x y z (fractional)
Na (0.0000, 0.0000, 0.0000)  4 Te 2.67, 2 W 2.75
Te (0.0000, 0.5000, 0.0000)  2 Na 2.67
Te (0.5000, 0.0000, 0.0000)  2 Na 2.67
W (0.0000, 0.0000, 0.5000)  2 Na 2.75
Cl (0.5000, 0.5000, 0.5000)  4 W 3.77, 8 Te 3.83

Summary:
- Formation energy (no corrections): 7.8 eV/f.u.

# 11
Crystalline La8Ga3HI4 at its relaxed geometry. Source: the Alexandria database, functional PBE-GGA.

a = 9.2188 Å, b = 9.2188 Å, c = 9.2188 Å
α = 57.07°, β = 57.07°, γ = 57.07°
Last column: nearest neighbours and their distance in Å.
Element x y z (fractional)
La (0.2386, 0.2386, 0.2386)  3 Ga 3.04, 3 I 3.35
La (0.2404, 0.7336, 0.7336)  1 H 2.97, 2 Ga 3.02
La (0.2664, 0.2664, 0.7596)  1 H 2.97, 2 Ga 3.02
La (0.2664, 0.7596, 0.2664)  1 H 2.97, 2 Ga 3.02
La (0.7336, 0.2404, 0.7336)  1 H 2.97, 2 Ga 3.02
La (0.7336, 0.7336, 0.2404)  1 H 2.97, 2 Ga 3.02
La (0.7596, 0.2664, 0.2664)  1 H 2.97, 2 Ga 3.02
La (0.7614, 0.7614, 0.7614)  3 Ga 3.04, 3 I 3.35
Ga (0.0000, 0.0000, 0.5000)  6 La 3.02-3.04
Ga (0.0000, 0.5000, 0.0000)  6 La 3.02-3.04
Ga (0.5000, 0.0000, 0.0000)  6 La 3.02-3.04
H (0.5000, 0.5000, 0.5000)  6 La 2.97
I (0.0000, 0.0000, 0.0000)  6 La 3.42
I (0.0000, 0.5000, 0.5000)  6 La 3.35-3.38
I (0.5000, 0.0000, 0.5000)  6 La 3.35-3.38
I (0.5000, 0.5000, 0.0000)  6 La 3.35-3.38

Summary:
- E: -70.15 eV for the cell shown

# 12
Crystalline LiLaScRu2 at its relaxed geometry. Source: the Alexandria database, functional PBE-GGA.

a = 4.6553 Å, b = 4.6553 Å, c = 4.2622 Å
α = 90.00°, β = 90.00°, γ = 90.00°
Last column: nearest neighbours and their distance in Å.
Element x y z (fractional)
Li (0.0000, 0.0000, 0.0000)  2 Sc 2.13, 4 Ru 2.33
La (0.5000, 0.5000, 0.5000)  8 Ru 3.16, 4 Sc 3.29
Sc (0.0000, 0.0000, 0.5000)  2 Li 2.13
Ru (0.0000, 0.5000, 0.0000)  2 Li 2.33
Ru (0.5000, 0.0000, 0.0000)  2 Li 2.33

Summary:
- E: -29.75 eV for the cell shown

The following density values (in g/cm3) correspond, in order, to the records above: 5.5, 9.2, 7.1, 5.8, 16.5, 5.0, 13.6, 9.7, 8.9, 5.3, 5.9, 7.1.
The following size of the total moment values (in μB per formula unit) correspond, in order, to the records above: 0.0, 0.0, 0.0, 1.9, 0.1, 0.0, 2.4, 0.0, 4.8, 3.7, 0.0, 0.0.